No. 1
Compound: LiBiSeN2
Source: Alexandria via LeMat-Bulk
Functional: PBE
Structure: optimized geometry

Summary:
Density = 4.731 Mg/m³
Energy relative to the elements, uncorrected = 26.42 kcal/mol of atoms
Excess energy over the best structure of this formula in the dataset = 0 meV per atom
E = -0.2969 Ry/atom
Calculated volume = 22.67 Å³/atom

Unit cell a=4.4586 b=4.4586 c=5.7010 alpha=90.00 beta=90.00 gamma=90.00
Space group P4/mmm (No. 123)
Unique sites:
Li 0.0000 0.0000 0.0000
Bi 0.5000 0.5000 0.5000
Se 0.5000 0.5000 0.0000
N 0.0000 0.5000 0.5000


No. 2
Compound: CaReSb2
Source: Alexandria via LeMat-Bulk
Functional: PBE
Structure: optimized geometry

Summary:
Density = 8.974 Mg/m³
Energy relative to the elements, uncorrected = 7.66 kcal/mol of atoms
Excess energy over the best structure of this formula in the dataset = 359 meV per atom
E = -0.3926 Ry/atom
Calculated volume = 21.73 Å³/atom

Unit cell a=6.3768 b=7.5315 c=3.6203 alpha=90.00 beta=90.15 gamma=90.00
Space group C2/m (No. 12)
Unique sites:
Ca 0.0000 0.0000 0.0000
Re 0.0000 0.5000 0.0000
Sb 0.2500 0.2500 0.5000


No. 3
Compound: NiAgPt
Source: Alexandria via LeMat-Bulk
Functional: PBE
Structure: optimized geometry

Summary:
Density = 11.862 Mg/m³
Excess energy over the best structure of this formula in the dataset = 325 meV per atom
E = -0.3328 Ry/atom
Calculated volume = 16.88 Å³/atom
DFT formation energy = 0.3628 eV/atom

Unit cell a=5.8724 b=5.8724 c=5.8724 alpha=90.00 beta=90.00 gamma=90.00
Space group F-43m (No. 216)
Unique sites:
Ni 0.0000 0.0000 0.0000
Ag 0.2500 0.2500 0.7500
Pt 0.2500 0.2500 0.2500


Sequential N(E_F) output: 0.3846 0.9523 1.6622 states/eV/atom
Sequential total magnetization output: 2.91 0.00 0.99 μB per formula unit